The following is a DFT calculation (PBE-GGA) of a relaxed Tb2Nd2DyEr4 crystal.

```
Tb2Nd2DyEr4
1.0
-1.647 0.867 3.072
5.615 -7.077 2.908
4.102 8.614 -0.233
Er Nd Tb Dy
4 2 2 1
direct
0.185 0.371 0.337 Er
0.520 0.039 0.335 Er
0.815 0.629 0.663 Er
0.480 0.961 0.665 Er
0.665 0.331 0.000 Nd
0.335 0.669 0.000 Nd
0.853 0.706 0.338 Tb
0.147 0.294 0.662 Tb
0.000 0.000 0.000 Dy
```

Calculated values
- SG = C2/m, No. 12

=====

The following is a DFT calculation (PBE-GGA) of a relaxed Os5Au4 crystal.

```
Os5Au4
1.0
0.744 -4.281 4.582
-1.911 5.922 -1.076
-4.989 -2.788 -2.687
Os Au
5 4
direct
0.000 0.000 0.000 Os
0.652 0.652 0.304 Os
0.652 0.348 0.000 Os
0.348 0.348 0.696 Os
0.348 0.652 0.000 Os
0.325 0.000 0.325 Au
0.000 0.325 0.325 Au
0.000 0.675 0.675 Au
0.675 0.000 0.675 Au
```

Calculated values
- SG = I4/mmm, No. 139

=====

The following is a DFT calculation (PBE-GGA) of a relaxed MoOs2 crystal.

```
MoOs2
1.0
-0.476 0.559 -5.307
1.702 -3.854 -0.558
-7.250 -3.246 0.308
Mo Os
4 8
direct
0.205 0.250 0.889 Mo
0.705 0.250 0.611 Mo
0.295 0.750 0.389 Mo
0.795 0.750 0.111 Mo
0.050 0.250 0.218 Os
0.683 0.250 0.938 Os
0.317 0.750 0.062 Os
0.183 0.250 0.562 Os
0.950 0.750 0.782 Os
0.450 0.750 0.718 Os
0.550 0.250 0.282 Os
0.817 0.750 0.438 Os
```

Calculated values
- SG = Pnma, No. 62

=====

M_tot (μB per formula unit)
0.00, 0.00, 0.00
Energy of formation from the pure elements (eV per atom)
-0.002, 0.595, 0.166